Computed, not measured: a relaxed TbSmAl4 crystal at the PBE level of DFT.

abc: 5.6097 5.6097 5.6097
angles: 60.00 60.00 60.00
Last column: nearest neighbours and their distance in Å.
Atoms (fractional coordinates):
Al: 0.6251 0.6251 0.1248  6 Al 2.80-2.81
Al: 0.6251 0.1248 0.6251  6 Al 2.80-2.81
Al: 0.6251 0.6251 0.6251  6 Al 2.80-2.81
Al: 0.1248 0.6251 0.6251  6 Al 2.80-2.81
Sm: 0.2500 0.2500 0.2500  12 Al 3.29, 4 Tb 3.44
Tb: 0.0000 0.0000 0.0000  12 Al 3.29, 4 Sm 3.44

Results
ΔH_f (0 K) (eV per atom): -0.513
Density of states at the Fermi level (states/eV per cell): 4.906
Calculated volume (Å³/f.u.): 124.8